Density functional theory data (GGA-PBE) for crystalline K2MgBe at its relaxed geometry.

a b c (Å): 6.9366 6.9366 6.9366
angles (deg): 146.00 127.20 64.30
Last column: nearest neighbours and their distance in Å.
Element x y z (fractional)
Mg: 0.4286 0.4286 0.0000  2 Be 2.57
K: 0.7341 0.2341 0.5000  4 Be 3.76, 6 K 3.81-4.16, 4 Mg 3.84-4.12
K: 0.0438 0.0438 0.0000  2 Be 3.57, 2 K 3.81, 4 Mg 3.93
Be: 0.2935 0.7935 0.5000  2 Mg 2.57

Properties
Its energy above the most stable polymorph in this dataset is 0.25 eV per formula unit. Its space group is Imm2, No. 44. The calculation puts the density at 1.3 g cm⁻³. As for the total energy: -5.302 eV/cell. The calculation puts the magnetic moment at 0.0000 μB per atom.

=====

Density functional theory data (GGA-PBE) for crystalline Ba8HgP2 at its relaxed geometry.

a b c (Å): 6.5917 10.5714 10.5695
angles (deg): 120.01 90.00 90.00
Last column: nearest neighbours and their distance in Å.
Element x y z (fractional)
P: 0.2276 0.3333 0.6667  5 Ba 3.04-3.36
P: 0.7724 0.6667 0.3333  5 Ba 3.04-3.36
Ba: 0.2631 0.6667 0.3333  2 P 3.23-3.36
Ba: 0.7477 0.8329 0.6645  1 P 3.04
Ba: 0.2523 0.1670 0.3355  1 P 3.04
Ba: 0.7477 0.8316 0.1671  1 P 3.04
Ba: 0.2523 0.1684 0.8329  1 P 3.04
Ba: 0.7369 0.3333 0.6667  2 P 3.23-3.36
Ba: 0.2523 0.6645 0.8315  1 P 3.04
Ba: 0.7477 0.3355 0.1685  1 P 3.04
Hg: 0.0000 0.0000 0.0000  6 Ba 3.49

Properties
Its space group is P-3, No. 147. The calculation puts the density at 3.5 g cm⁻³. As for the total energy: -30.383 eV/cell. The calculation puts the magnetic moment at 0.0000 μB per atom.